[1]
An optimized crystal structure of Zn2TcHPt. Source: the Alexandria database, functional PBE-GGA.

CIF file:
```
data_Zn2TcHPt
_symmetry_space_group_name_H-M 'P 1'
_symmetry_Int_Tables_number 1
_symmetry_space_group_name_Hall 'P 1'
_cell_length_a 4.134
_cell_length_b 4.134
_cell_length_c 3.575
_cell_angle_alpha 90.00
_cell_angle_beta 90.00
_cell_angle_gamma 90.00
loop_
_atom_site_label
_atom_site_fract_x
_atom_site_fract_y
_atom_site_fract_z
_atom_site_occupancy
Tc1 0.000 0.000 0.500 1
H1 0.000 0.000 0.000 1
Zn1 0.000 0.500 0.000 1
Zn2 0.500 0.000 0.000 1
Pt1 0.500 0.500 0.500 1
```

Calculated values
The value obtained for the total energy is -4.4982 eV per atom.

---

[2]
An optimized crystal structure of Cs2CuHg2Br6. Source: the Alexandria database, functional PBE-GGA.

CIF file:
```
data_Cs2CuHg2Br6
_symmetry_space_group_name_H-M 'P 1'
_symmetry_Int_Tables_number 1
_symmetry_space_group_name_Hall 'P 1'
_cell_length_a 7.919
_cell_length_b 8.313
_cell_length_c 8.248
_cell_angle_alpha 113.53
_cell_angle_beta 90.00
_cell_angle_gamma 118.45
loop_
_atom_site_label
_atom_site_fract_x
_atom_site_fract_y
_atom_site_fract_z
_atom_site_occupancy
Br1 0.751 0.066 0.741 1
Cs1 0.724 0.449 0.188 1
Br2 0.264 0.528 0.364 1
Br3 0.249 0.934 0.259 1
Cs2 0.276 0.551 0.812 1
Br4 0.686 0.934 0.259 1
Cu1 0.500 0.000 0.500 1
Br5 0.314 0.066 0.741 1
Hg1 0.061 0.122 0.184 1
Br6 0.736 0.472 0.636 1
Hg2 0.939 0.878 0.816 1
```

Calculated values
As for the uncorrected formation energy: -853 meV/atom. The value obtained for the total energy is -2.3479 eV per atom.

---

[3]
An optimized crystal structure of Gd3InFe. Source: the Alexandria database, functional PBE-GGA.

CIF file:
```
data_Gd3InFe
_symmetry_space_group_name_H-M 'P 1'
_symmetry_Int_Tables_number 1
_symmetry_space_group_name_Hall 'P 1'
_cell_length_a 5.155
_cell_length_b 5.155
_cell_length_c 5.155
_cell_angle_alpha 90.00
_cell_angle_beta 90.00
_cell_angle_gamma 90.00
loop_
_atom_site_label
_atom_site_fract_x
_atom_site_fract_y
_atom_site_fract_z
_atom_site_occupancy
Gd1 0.000 0.000 0.500 1
Gd2 0.000 0.500 0.000 1
In1 0.500 0.500 0.500 1
Fe1 0.000 0.000 0.000 1
Gd3 0.500 0.000 0.000 1
```

Calculated values
The calculation puts the calculated formation energy at -0.10 eV/atom. The value obtained for the total energy is -10.7845 eV per atom.

---

[4]
An optimized crystal structure of HfMg2ZnSi. Source: the Alexandria database, functional PBE-GGA.

CIF file:
```
data_HfMg2ZnSi
_symmetry_space_group_name_H-M 'P 1'
_symmetry_Int_Tables_number 1
_symmetry_space_group_name_Hall 'P 1'
_cell_length_a 4.915
_cell_length_b 4.612
_cell_length_c 4.915
_cell_angle_alpha 90.00
_cell_angle_beta 90.00
_cell_angle_gamma 90.00
loop_
_atom_site_label
_atom_site_fract_x
_atom_site_fract_y
_atom_site_fract_z
_atom_site_occupancy
Mg1 0.000 0.000 0.500 1
Zn1 0.000 0.500 0.000 1
Si1 0.000 0.000 0.000 1
Mg2 0.500 0.000 0.000 1
Hf1 0.500 0.500 0.500 1
```

Calculated values
As for the uncorrected formation energy: 650 meV/atom. The value obtained for the total energy is -3.3179 eV per atom.

---

[5]
An optimized crystal structure of K2TaCu. Source: the Alexandria database, functional PBE-GGA.

CIF file:
```
data_K2TaCu
_symmetry_space_group_name_H-M 'P 1'
_symmetry_Int_Tables_number 1
_symmetry_space_group_name_Hall 'P 1'
_cell_length_a 11.905
_cell_length_b 11.905
_cell_length_c 11.905
_cell_angle_alpha 14.90
_cell_angle_beta 14.90
_cell_angle_gamma 14.90
loop_
_atom_site_label
_atom_site_fract_x
_atom_site_fract_y
_atom_site_fract_z
_atom_site_occupancy
K1 0.493 0.493 0.493 1
K2 0.007 0.007 0.007 1
Cu1 0.750 0.750 0.750 1
Ta1 0.250 0.250 0.250 1
```

Calculated values
Its energy relative to the lowest polymorph listed for this composition is 7.92 kcal/mol of atoms. The calculation puts the calculated formation energy at 1.09 eV/atom. The value obtained for the total energy is -3.4445 eV per atom.

---

[6]
An optimized crystal structure of InCo2Br. Source: the Alexandria database, functional PBE-GGA.

CIF file:
```
data_InCo2Br
_symmetry_space_group_name_H-M 'P 1'
_symmetry_Int_Tables_number 1
_symmetry_space_group_name_Hall 'P 1'
_cell_length_a 6.386
_cell_length_b 6.386
_cell_length_c 6.386
_cell_angle_alpha 150.45
_cell_angle_beta 141.05
_cell_angle_gamma 49.64
loop_
_atom_site_label
_atom_site_fract_x
_atom_site_fract_y
_atom_site_fract_z
_atom_site_occupancy
Co1 0.162 0.662 0.500 1
Co2 0.025 0.025 0.000 1
Br1 0.792 0.292 0.500 1
In1 0.520 0.520 0.000 1
```

Calculated values
Its energy relative to the lowest polymorph listed for this composition is 2.94 kcal/mol of atoms. As for the uncorrected formation energy: 383 meV/atom. The value obtained for the total energy is -4.2729 eV per atom.